(1)
# AgIr2Pt (PBE-GGA, relaxed)
data_AgIr2Pt
_cell_length_a 2.7387
_cell_length_b 4.7776
_cell_length_c 4.8047
_cell_angle_alpha 90.00
_cell_angle_beta 90.00
_cell_angle_gamma 90.00
_space_group_name_H-M_alt 'P m m m'
_space_group_IT_number 47
_space_group_name_Hall '-P 2 2'
loop_
_atom_site_label
_atom_site_fract_x
_atom_site_fract_y
_atom_site_fract_z
Ag1 0.0000 0.0000 0.0000
Ir1 0.0000 0.5000 0.5000
Ir2 0.5000 0.0000 0.5000
Pt1 0.5000 0.5000 0.0000
# V: 15.72 Å³/atom
# Energy above the lowest structure with this stoichiometry: 281 meV per atom
# E_form: 0.385 eV/atom

(2)
# AgIr2Pt (PBE-GGA, relaxed)
data_AgIr2Pt
_cell_length_a 3.9672
_cell_length_b 3.9672
_cell_length_c 7.8240
_cell_angle_alpha 90.00
_cell_angle_beta 90.00
_cell_angle_gamma 90.00
_space_group_name_H-M_alt 'I -4 m 2'
_space_group_IT_number 119
_space_group_name_Hall 'I -4 -2'
loop_
_atom_site_label
_atom_site_fract_x
_atom_site_fract_y
_atom_site_fract_z
Ag1 0.0000 0.0000 0.0000
Ir1 0.0000 0.0000 0.5000
Ir2 0.0000 0.5000 0.7500
Pt1 0.0000 0.5000 0.2500
# V: 15.39 Å³/atom
# Energy above the lowest structure with this stoichiometry: 189 meV per atom
# E_form: 0.293 eV/atom

In eV/cell, the VASP energy values for the records above are, in order, -25.1; -50.9.